A geometry-optimized AgPd6Pb3 structure. Source: Alexandria via LeMat-Bulk, functional PBE.

Structure (CIF):
```
data_AgPd6Pb3
_cell_length_a 11.473
_cell_length_b 13.578
_cell_length_c 4.979
_cell_angle_alpha 90.00
_cell_angle_beta 90.00
_cell_angle_gamma 90.00
_space_group_name_H-M_alt 'C m c 21'
_space_group_IT_number 36
loop_
_space_group_symop_operation_xyz
'x,y,z'
'-x,-y,z+1/2'
'-x,y,z'
'x,-y,z+1/2'
'x+1/2,y+1/2,z'
'-x+1/2,-y+1/2,z+1/2'
'-x+1/2,y+1/2,z'
'x+1/2,-y+1/2,z+1/2'
loop_
_atom_site_label
_atom_site_type_symbol
_atom_site_fract_x
_atom_site_fract_y
_atom_site_fract_z
_atom_site_occupancy
Ag1 Ag 0.000 0.155 0.000 1
Pd1 Pd 0.000 0.049 0.535 1
Pd2 Pd 0.000 0.260 0.484 1
Pd3 Pd 0.124 0.444 0.394 1
Pd4 Pd 0.214 0.205 0.773 1
Pb1 Pb 0.000 0.369 0.945 1
Pb2 Pb 0.209 0.097 0.296 1
```

A geometry-optimized AgPdPb4 structure. Source: Alexandria via LeMat-Bulk, functional PBE.

Structure (CIF):
```
data_AgPdPb4
_cell_length_a 7.013
_cell_length_b 7.013
_cell_length_c 12.577
_cell_angle_alpha 90.00
_cell_angle_beta 90.00
_cell_angle_gamma 90.00
_space_group_name_H-M_alt 'I 4/m c m'
_space_group_IT_number 140
_space_group_name_Hall '-I 4 2c'
loop_
_atom_site_label
_atom_site_type_symbol
_atom_site_fract_x
_atom_site_fract_y
_atom_site_fract_z
_atom_site_occupancy
Ag1 Ag 0.000 0.000 0.250 1
Pd1 Pd 0.000 0.000 0.000 1
Pb1 Pb 0.165 0.335 0.127 1
```

no.,volume (Å³/cell),E_form (eV/atom)
1,775.6,-0.11
2,618.5,-0.03